Crystalline SnPb5Cl12 at its relaxed geometry, computed with PBE-GGA.

Geometry as CIF:
```
data_SnPb5Cl12
_chemical_formula_sum 'Sn2 Pb10 Cl24'
_symmetry_space_group_name_H-M 'C 1 2/m 1'
_symmetry_Int_Tables_number 12
_symmetry_space_group_name_Hall '-C 2y'
_cell_length_a 7.5549
_cell_length_b 13.1853
_cell_length_c 12.7650
_cell_angle_alpha 90.00
_cell_angle_beta 90.11
_cell_angle_gamma 90.00
loop_
_atom_site_label
_atom_site_type_symbol
_atom_site_fract_x
_atom_site_fract_y
_atom_site_fract_z
Sn1 Sn 0.0000 0.0000 0.0000
Pb1 Pb 0.0000 0.1666 0.5000
Pb2 Pb 0.0000 0.3333 0.0000
Pb3 Pb 0.0000 0.5000 0.5000
Cl1 Cl 0.1640 0.1645 0.1155
Cl2 Cl 0.1653 0.3333 0.3827
Cl3 Cl 0.1655 0.0000 0.3829
Cl4 Cl 0.1707 0.5000 0.1154
```

Values from the calculation:
Energy relative to the elements, uncorrected   -1.1076 eV/atom
Fermi-level density of states   0.000 states/eV/f.u.
Electronic total energy   -3.591 eV per atom
Size of the total moment   0.00 μB/cell
Crystal system   monoclinic